Zn2GePd5Au2 | PBE | relaxed

a = 9.309 Å, b = 9.309 Å, c = 3.721 Å
α = 90.00°, β = 90.00°, γ = 90.00°
Space group P4/mbm (No. 127)
Unique sites:
Zn  0.129  0.371  0.000 x4
Ge  0.000  0.000  0.000 x2
Pd  0.000  0.500  0.500 x2
Pd  0.093  0.184  0.500 x8
Au  0.165  0.665  0.000 x4

Output
Total moment ... 0.00 μB/cell
Density of states at the Fermi level ... 2.17 states/eV/f.u.

ZrGePdAu | PBE | relaxed

a = 6.574 Å, b = 6.574 Å, c = 6.574 Å
α = 90.00°, β = 90.00°, γ = 90.00°
Space group F-43m (No. 216)
Unique sites:
Zr  0.000  0.000  0.000 x4
Ge  0.250  0.250  0.750 x4
Pd  0.000  0.000  0.500 x4
Au  0.250  0.250  0.250 x4

Output
Total moment ... 0.00 μB/cell
Density of states at the Fermi level ... 2.81 states/eV/f.u.

Pm5Ge4Au | PBE | relaxed

a = 3.471 Å, b = 3.471 Å, c = 20.261 Å
α = 90.00°, β = 90.00°, γ = 90.00°
Space group P4/mmm (No. 123)
Unique sites:
Pm  0.000  0.000  0.000 x1
Pm  0.000  0.000  0.201 x2
Pm  0.000  0.000  0.399 x2
Ge  0.500  0.500  0.101 x2
Ge  0.500  0.500  0.303 x2
Au  0.500  0.500  0.500 x1

Output
Total moment ... 0.00 μB/cell
Density of states at the Fermi level ... 6.07 states/eV/f.u.

Pm2GeAu | PBE | relaxed

a = 4.426 Å, b = 4.163 Å, c = 11.206 Å
α = 90.00°, β = 90.00°, γ = 90.00°
Space group Amm2 (No. 38)
Unique sites:
Pm  0.000  0.000  0.000 x2
Pm  0.500  0.000  0.277 x2
Ge  0.500  0.000  0.552 x2
Au  0.000  0.000  0.719 x2

Output
Total moment ... 0.00 μB/cell
Density of states at the Fermi level ... 3.05 states/eV/f.u.
Energy above the most stable polymorph in this dataset ... 0.000 eV/atom

Pm4Ge5Au3 | PBE | relaxed

a = 13.888 Å, b = 4.581 Å, c = 11.952 Å
α = 90.00°, β = 122.70°, γ = 90.00°
Space group C2/m (No. 12)
Unique sites:
Pm  0.117  0.000  0.468 x4
Pm  0.238  0.000  0.838 x4
Ge  0.000  0.500  0.000 x2
Ge  0.066  0.500  0.629 x4
Ge  0.240  0.000  0.331 x4
Au  0.000  0.000  0.000 x2
Au  0.094  0.500  0.861 x4

Output
Total moment ... 0.00 μB/cell
Density of states at the Fermi level ... 7.91 states/eV/f.u.

Pm2GeAu | PBE | relaxed

a = 3.646 Å, b = 3.646 Å, c = 7.476 Å
α = 90.00°, β = 90.00°, γ = 90.00°
Space group P4/mmm (No. 123)
Unique sites:
Pm  0.000  0.000  0.247 x2
Ge  0.500  0.500  0.000 x1
Au  0.500  0.500  0.500 x1

Output
Total moment ... 0.00 μB/cell
Density of states at the Fermi level ... 2.87 states/eV/f.u.
Energy above the most stable polymorph in this dataset ... 0.089 eV/atom

Pm3GeAu | PBE | relaxed

a = 4.257 Å, b = 7.409 Å, c = 9.237 Å
α = 90.00°, β = 90.00°, γ = 90.00°
Space group Pmmn (No. 59, origin choice 2)
Unique sites:
Pm  0.250  0.016  0.175 x4
Pm  0.250  0.250  0.571 x2
Ge  0.250  0.250  0.902 x2
Au  0.250  0.750  0.655 x2

Output
Total moment ... 0.00 μB/cell
Density of states at the Fermi level ... 6.48 states/eV/f.u.

Pm2Ge2Au3 | PBE | relaxed

a = 10.603 Å, b = 4.225 Å, c = 7.318 Å
α = 90.00°, β = 113.27°, γ = 90.00°
Space group C2/m (No. 12)
Unique sites:
Pm  0.141  0.000  0.269 x4
Ge  0.147  0.000  0.703 x4
Au  0.000  0.500  0.500 x2
Au  0.113  0.500  0.938 x4

Output
Total moment ... 0.00 μB/cell
Density of states at the Fermi level ... 2.02 states/eV/f.u.
Energy above the most stable polymorph in this dataset ... 0.000 eV/atom

PmGe2Au5 | PBE | relaxed

a = 4.317 Å, b = 7.365 Å, c = 10.287 Å
α = 90.00°, β = 90.00°, γ = 90.00°
Space group Immm (No. 71)
Unique sites:
Pm  0.000  0.000  0.000 x2
Ge  0.000  0.500  0.250 x4
Au  0.000  0.200  0.361 x8
Au  0.000  0.500  0.000 x2

Output
Total moment ... 0.00 μB/cell
Density of states at the Fermi level ... 3.16 states/eV/f.u.

Pm2Ge2Au3 | PBE | relaxed

a = 11.271 Å, b = 4.248 Å, c = 6.453 Å
α = 90.00°, β = 97.42°, γ = 90.00°
Space group C2/m (No. 12)
Unique sites:
Pm  0.130  0.000  0.321 x4
Ge  0.087  0.500  0.654 x4
Au  0.000  0.500  0.000 x2
Au  0.201  0.000  0.851 x4

Output
Total moment ... 0.00 μB/cell
Density of states at the Fermi level ... 3.72 states/eV/f.u.
Energy above the most stable polymorph in this dataset ... 0.016 eV/atom

Pm3GeAu2 | PBE | relaxed

a = 13.363 Å, b = 6.115 Å, c = 8.620 Å
α = 90.00°, β = 108.80°, γ = 90.00°
Space group C2/c (No. 15)
Unique sites:
Pm  0.000  0.003  0.250 x4
Pm  0.159  0.435  0.589 x8
Ge  0.000  0.494  0.250 x4
Au  0.174  0.070  0.069 x8

Output
Total moment ... 0.00 μB/cell
Density of states at the Fermi level ... 5.08 states/eV/f.u.

PmGeAu | PBE | relaxed

a = 4.4737 Å, b = 4.4737 Å, c = 3.9121 Å
α = 90.00°, β = 90.00°, γ = 120.00°
Space group P3m1 (No. 156)
Unique sites:
Pm  0.0000  0.0000  0.0000 x1
Ge  0.3333  0.6667  0.5271 x1
Au  0.6667  0.3333  0.4840 x1

Output
Total moment ... 0.00 μB/cell
Density of states at the Fermi level ... 1.69 states/eV/f.u.
Energy above the most stable polymorph in this dataset ... 0.011 eV/atom

Pm4GeAu3 | PBE | relaxed

a = 4.026 Å, b = 4.603 Å, c = 11.207 Å
α = 90.00°, β = 90.00°, γ = 90.00°
Space group Pmm2 (No. 25)
Unique sites:
Pm  0.000  0.000  0.000 x1
Pm  0.000  0.500  0.273 x1
Pm  0.500  0.000  0.495 x1
Pm  0.500  0.500  0.774 x1
Ge  0.500  0.000  0.224 x1
Au  0.000  0.000  0.723 x1
Au  0.000  0.500  0.552 x1
Au  0.500  0.500  0.051 x1

Output
Total moment ... 0.00 μB/cell
Density of states at the Fermi level ... 7.35 states/eV/f.u.

In eV/atom, the DFT total energy values for the records above are, in order, -4.2548, -5.9068, -5.2160, -5.1620, -4.7518, -5.0725, -5.0288, -4.7498, -4.0952, -4.7337, -4.9047, -5.0216, -4.9820.
In Å³ per cell, the V values for the records above are, in order, 322.5, 284.2, 244.1, 206.5, 639.9, 99.4, 291.3, 301.1, 327.1, 306.4, 666.7, 67.8, 207.7.
In eV/atom, the energy of formation from the pure elements values for the records above are, in order, -0.2863, -0.4979, -0.6660, -0.8130, -0.4250, -0.7236, -0.5995, -0.6687, -0.2987, -0.6525, -0.6674, -0.8064, -0.8005.